Compound: Al2SiMo
Source: Alexandria via LeMat-Bulk
Functional: PBE
Structure: optimized geometry

```
data_Al2SiMo
_chemical_formula_sum 'Al6 Si3 Mo3'
_cell_length_a 2.9277
_cell_length_b 2.9277
_cell_length_c 25.0941
_cell_angle_alpha 90.00
_cell_angle_beta 90.00
_cell_angle_gamma 120.00
_symmetry_space_group_name_H-M 'R -3 m'
_symmetry_Int_Tables_number 166
_symmetry_space_group_name_Hall '-R 3 2"'
loop_
_atom_site_label
_atom_site_type_symbol
_atom_site_fract_x
_atom_site_fract_y
_atom_site_fract_z
Al1 Al 0.0000 0.0000 0.2479
Si1 Si 0.0000 0.0000 0.5000
Mo1 Mo 0.0000 0.0000 0.0000
```

Calculated values
E_form (uncorrected)	0.0976	eV per atom